Computed, not measured: TiBW3 at its PBEsol-relaxed geometry at the SCAN level of DFT.

a b c (Å): 4.467 4.467 4.467
angles (deg): 90.00 90.00 90.00
Atoms (fractional coordinates):
Ti (0.000, 0.000, 0.000)
B (0.500, 0.500, 0.500)
W (0.000, 0.000, 0.500)
W (0.000, 0.500, 0.000)
W (0.500, 0.000, 0.000)

Crystal system ... cubic
M_tot ... 0.0 μB per cell
Energy above the most stable polymorph in this dataset ... 13.37 eV/f.u.
Fermi-level density of states ... 3.44 states/eV/f.u.
ΔH_f (0 K) ... 2937 meV per atom
Calculated density ... 11.37 g/cm³
Raw total energy ... -43.568 eV per atom
Calculated volume ... 17.8 Å³ per atom